! Fe5O3F7 | the Alexandria database | PBE+U | relaxed; values from VASP
! Energy above the lowest structure with this stoichiometry, kJ/mol of atoms: 13.9
&SYSTEM
  ibrav = 0, nat = 30, ntyp = 3
/
ATOMIC_SPECIES
Fe 55.84 Fe.upf
O 16.00 O.upf
F 19.00 F.upf
CELL_PARAMETERS angstrom
4.770 0.000 0.000
0.000 15.626 0.000
-0.041 0.000 4.782
ATOMIC_POSITIONS crystal
Fe 0.000 0.000 0.000
Fe 0.024 0.208 0.991
Fe 0.024 0.792 0.991
Fe 0.457 0.295 0.497
Fe 0.457 0.705 0.497
Fe 0.468 0.100 0.456
Fe 0.468 0.900 0.456
Fe 0.515 0.500 0.436
Fe 0.985 0.401 0.966
Fe 0.985 0.599 0.966
O 0.163 0.303 0.797
O 0.163 0.697 0.797
O 0.286 0.196 0.295
O 0.286 0.804 0.295
O 0.300 0.000 0.295
O 0.812 0.500 0.132
F 0.186 0.500 0.753
F 0.196 0.103 0.792
F 0.196 0.897 0.792
F 0.282 0.400 0.263
F 0.282 0.600 0.263
F 0.677 0.396 0.670
F 0.677 0.604 0.670
F 0.689 0.000 0.680
F 0.698 0.188 0.697
F 0.698 0.812 0.697
F 0.782 0.301 0.181
F 0.782 0.699 0.181
F 0.794 0.105 0.185
F 0.794 0.895 0.185